Entry 1:
Entry from Alexandria via LeMat-Bulk: MnPd6Pt2 after structural relaxation (PBE).

## Properties
Space-group type: C2/m
Size of the total moment in μB per formula unit: 4.63
Excess energy over the best structure of this formula in the dataset in meV per atom: 0

a = 4.824 Å, b = 4.824 Å, c = 8.313 Å
α = 106.45°, β = 106.45°, γ = 48.36°
Fractional positions:
Mn 0.000 0.000 0.000
Pd 0.003 0.003 0.672
Pd 0.330 0.330 0.110
Pd 0.333 0.333 0.445
Pd 0.667 0.667 0.555
Pd 0.670 0.670 0.890
Pd 0.997 0.997 0.328
Pt 0.339 0.339 0.782
Pt 0.661 0.661 0.218

***

Entry 2:
Entry from Alexandria via LeMat-Bulk: Nd12Hg3O5 after structural relaxation (PBE).

## Properties
Space-group type: Ia-3d
Size of the total moment in μB per formula unit: 2.44
Uncorrected formation energy in eV per atom: -1.47

a = 13.982 Å, b = 13.982 Å, c = 13.982 Å
α = 109.47°, β = 109.47°, γ = 109.47°
Fractional positions:
Nd 0.011 0.198 0.108
Nd 0.011 0.313 0.903
Nd 0.090 0.698 0.687
Nd 0.090 0.892 0.403
Nd 0.097 0.608 0.410
Nd 0.097 0.989 0.687
Nd 0.108 0.011 0.198
Nd 0.108 0.597 0.910
Nd 0.187 0.198 0.590
Nd 0.187 0.489 0.597
Nd 0.198 0.108 0.011
Nd 0.198 0.590 0.187
Nd 0.302 0.313 0.910
Nd 0.302 0.489 0.392
Nd 0.313 0.903 0.011
Nd 0.313 0.910 0.302
Nd 0.392 0.302 0.489
Nd 0.392 0.590 0.903
Nd 0.403 0.090 0.892
Nd 0.403 0.813 0.511
Nd 0.410 0.097 0.608
Nd 0.410 0.813 0.802
Nd 0.489 0.392 0.302
Nd 0.489 0.597 0.187
Nd 0.511 0.403 0.813
Nd 0.511 0.608 0.698
Nd 0.590 0.187 0.198
Nd 0.590 0.903 0.392
Nd 0.597 0.187 0.489
Nd 0.597 0.910 0.108
Nd 0.608 0.410 0.097
Nd 0.608 0.698 0.511
Nd 0.687 0.090 0.698
Nd 0.687 0.097 0.989
Nd 0.698 0.511 0.608
Nd 0.698 0.687 0.090
Nd 0.802 0.410 0.813
Nd 0.802 0.892 0.989
Nd 0.813 0.511 0.403
Nd 0.813 0.802 0.410
Nd 0.892 0.403 0.090
Nd 0.892 0.989 0.802
Nd 0.903 0.011 0.313
Nd 0.903 0.392 0.590
Nd 0.910 0.108 0.597
Nd 0.910 0.302 0.313
Nd 0.989 0.687 0.097
Nd 0.989 0.802 0.892
Hg 0.125 0.250 0.375
Hg 0.125 0.375 0.750
Hg 0.250 0.375 0.125
Hg 0.250 0.875 0.625
Hg 0.375 0.125 0.250
Hg 0.375 0.750 0.125
Hg 0.625 0.250 0.875
Hg 0.625 0.875 0.750
Hg 0.750 0.125 0.375
Hg 0.750 0.625 0.875
Hg 0.875 0.625 0.250
Hg 0.875 0.750 0.625
O 0.000 0.000 0.000
O 0.000 0.000 0.500
O 0.000 0.500 0.000
O 0.000 0.500 0.500
O 0.125 0.750 0.875
O 0.125 0.875 0.250
O 0.250 0.125 0.875
O 0.250 0.625 0.375
O 0.375 0.250 0.625
O 0.375 0.625 0.750
O 0.500 0.000 0.000
O 0.500 0.000 0.500
O 0.500 0.500 0.000
O 0.500 0.500 0.500
O 0.625 0.375 0.250
O 0.625 0.750 0.375
O 0.750 0.375 0.625
O 0.750 0.875 0.125
O 0.875 0.125 0.750
O 0.875 0.250 0.125

***

Calculated electronic total energy in order - -5.95; -5.62 eV per atom